[1]
An optimized crystal structure of Cd6AgPd8. Source: Alexandria, functional PBE-GGA.

Properties
Space group: R-3 (148)

a b c (Å): 6.933 6.933 6.933
angles (deg): 68.49 68.49 68.49
Positions (direct):
Cd1 0.140 0.635 0.418
Cd2 0.365 0.582 0.860
Cd3 0.418 0.140 0.635
Cd4 0.582 0.860 0.365
Cd5 0.635 0.418 0.140
Cd6 0.860 0.365 0.582
Ag1 0.000 0.000 0.000
Pd1 0.084 0.389 0.855
Pd2 0.145 0.916 0.611
Pd3 0.256 0.256 0.256
Pd4 0.389 0.855 0.084
Pd5 0.611 0.145 0.916
Pd6 0.744 0.744 0.744
Pd7 0.855 0.084 0.389
Pd8 0.916 0.611 0.145

[2]
An optimized crystal structure of Cd6Ag2Pd3. Source: Alexandria, functional PBE-GGA.

Properties
Space group: I4/mmm (139)

a b c (Å): 13.484 13.484 13.484
angles (deg): 162.01 162.01 25.55
Positions (direct):
Cd1 0.067 0.567 0.500
Cd2 0.237 0.237 0.000
Cd3 0.433 0.933 0.500
Cd4 0.567 0.067 0.500
Cd5 0.763 0.763 0.000
Cd6 0.933 0.433 0.500
Ag1 0.345 0.345 0.000
Ag2 0.655 0.655 0.000
Pd1 0.000 0.000 0.000
Pd2 0.135 0.135 0.000
Pd3 0.865 0.865 0.000

[3]
An optimized crystal structure of CdAg2Pd5. Source: Alexandria, functional PBE-GGA.

Properties
Space group: Pbam (55)
Energy relative to the lowest polymorph listed for this composition (meV/atom): 8

a b c (Å): 5.718 11.435 4.020
angles (deg): 90.00 90.00 90.00
Positions (direct):
Cd1 0.000 0.000 0.000
Cd2 0.500 0.500 0.000
Ag1 0.241 0.372 0.500
Ag2 0.259 0.872 0.500
Ag3 0.741 0.128 0.500
Ag4 0.759 0.628 0.500
Pd1 0.000 0.500 0.000
Pd2 0.007 0.750 0.000
Pd3 0.247 0.125 0.500
Pd4 0.253 0.625 0.500
Pd5 0.493 0.250 0.000
Pd6 0.500 0.000 0.000
Pd7 0.507 0.750 0.000
Pd8 0.747 0.375 0.500
Pd9 0.753 0.875 0.500
Pd10 0.993 0.250 0.000

[4]
An optimized crystal structure of CdAgPd2. Source: Alexandria, functional PBE-GGA.

Properties
Space group: P4/mmm (123)

a b c (Å): 3.313 3.313 6.214
angles (deg): 90.00 90.00 90.00
Positions (direct):
Cd1 0.000 0.000 0.000
Ag1 0.000 0.000 0.500
Pd1 0.500 0.500 0.250
Pd2 0.500 0.500 0.750

[5]
An optimized crystal structure of CdAg3Pd2. Source: Alexandria, functional PBE-GGA.

Properties
Space group: P-1 (2)
Energy relative to the lowest polymorph listed for this composition (meV/atom): 3

a b c (Å): 4.101 4.147 6.410
angles (deg): 89.76 71.51 89.90
Positions (direct):
Cd1 0.000 0.000 0.000
Ag1 0.171 0.500 0.659
Ag2 0.500 0.500 0.000
Ag3 0.829 0.500 0.341
Pd1 0.334 0.000 0.332
Pd2 0.666 0.000 0.668

[6]
An optimized crystal structure of CdAg2Pd2. Source: Alexandria, functional PBE-GGA.

Properties
Space group: C2/m (12)
Energy relative to the lowest polymorph listed for this composition (meV/atom): 0

a b c (Å): 8.999 4.109 6.371
angles (deg): 90.00 133.25 90.00
Positions (direct):
Cd1 0.000 0.000 0.000
Cd2 0.500 0.500 0.000
Ag1 0.197 0.000 0.601
Ag2 0.303 0.500 0.399
Ag3 0.697 0.500 0.601
Ag4 0.803 0.000 0.399
Pd1 0.099 0.500 0.801
Pd2 0.401 0.000 0.199
Pd3 0.599 0.000 0.801
Pd4 0.901 0.500 0.199

[7]
An optimized crystal structure of CdAgPd2. Source: Alexandria, functional PBE-GGA.

Properties
Space group: I-42d (122)

a b c (Å): 7.370 7.370 5.537
angles (deg): 90.00 90.00 90.00
Positions (direct):
Cd1 0.000 0.000 0.000
Cd2 0.000 0.500 0.250
Cd3 0.500 0.000 0.750
Cd4 0.500 0.500 0.500
Ag1 0.000 0.000 0.500
Ag2 0.000 0.500 0.750
Ag3 0.500 0.000 0.250
Ag4 0.500 0.500 0.000
Pd1 0.249 0.250 0.125
Pd2 0.250 0.749 0.375
Pd3 0.250 0.751 0.875
Pd4 0.251 0.250 0.625
Pd5 0.749 0.750 0.625
Pd6 0.750 0.249 0.875
Pd7 0.750 0.251 0.375
Pd8 0.751 0.750 0.125

[8]
An optimized crystal structure of Cd2Ag5Pd5. Source: Alexandria, functional PBE-GGA.

Properties
Space group: C2/m (12)

a b c (Å): 6.524 6.524 9.164
angles (deg): 115.83 115.83 36.12
Positions (direct):
Cd1 0.082 0.082 0.253
Cd2 0.918 0.918 0.747
Ag1 0.000 0.000 0.500
Ag2 0.167 0.167 0.000
Ag3 0.247 0.247 0.747
Ag4 0.753 0.753 0.253
Ag5 0.833 0.833 0.000
Pd1 0.333 0.333 0.500
Pd2 0.418 0.418 0.252
Pd3 0.500 0.500 0.000
Pd4 0.582 0.582 0.748
Pd5 0.667 0.667 0.500

[9]
An optimized crystal structure of Cd2Ag3Pd3. Source: Alexandria, functional PBE-GGA.

Properties
Space group: Pmmm (47)

a b c (Å): 4.129 4.263 7.861
angles (deg): 90.00 90.00 90.00
Positions (direct):
Cd1 0.000 0.000 0.243
Cd2 0.000 0.000 0.757
Ag1 0.000 0.500 0.500
Ag2 0.500 0.500 0.247
Ag3 0.500 0.500 0.753
Pd1 0.000 0.500 0.000
Pd2 0.500 0.000 0.000
Pd3 0.500 0.000 0.500

[10]
An optimized crystal structure of Cd12Ag7Pd. Source: Alexandria, functional PBE-GGA.

Properties
Space group: R-3 (148)

a b c (Å): 7.845 7.845 7.845
angles (deg): 105.80 105.80 105.80
Positions (direct):
Cd1 0.037 0.698 0.150
Cd2 0.150 0.037 0.698
Cd3 0.194 0.456 0.653
Cd4 0.302 0.850 0.963
Cd5 0.347 0.806 0.544
Cd6 0.456 0.653 0.194
Cd7 0.544 0.347 0.806
Cd8 0.653 0.194 0.456
Cd9 0.698 0.150 0.037
Cd10 0.806 0.544 0.347
Cd11 0.850 0.963 0.302
Cd12 0.963 0.302 0.850
Ag1 0.000 0.000 0.000
Ag2 0.110 0.393 0.258
Ag3 0.258 0.110 0.393
Ag4 0.393 0.258 0.110
Ag5 0.607 0.742 0.890
Ag6 0.742 0.890 0.607
Ag7 0.890 0.607 0.742
Pd1 0.500 0.500 0.500

[11]
An optimized crystal structure of Cd3Ag2Pd7. Source: Alexandria, functional PBE-GGA.

Properties
Space group: Cmmm (65)
Energy relative to the lowest polymorph listed for this composition (meV/atom): 0

a b c (Å): 10.847 10.847 4.569
angles (deg): 90.00 90.00 155.56
Positions (direct):
Cd1 0.000 0.000 0.000
Cd2 0.154 0.846 0.000
Cd3 0.846 0.154 0.000
Ag1 0.352 0.648 0.500
Ag2 0.648 0.352 0.500
Pd1 0.076 0.924 0.500
Pd2 0.220 0.780 0.500
Pd3 0.427 0.573 0.000
Pd4 0.500 0.500 0.500
Pd5 0.573 0.427 0.000
Pd6 0.780 0.220 0.500
Pd7 0.924 0.076 0.500

[12]
An optimized crystal structure of CdAg2Pd7. Source: Alexandria, functional PBE-GGA.

Properties
Space group: Cmmm (65)

a b c (Å): 7.904 7.904 4.162
angles (deg): 90.00 90.00 125.73
Positions (direct):
Cd1 0.000 0.000 0.000
Ag1 0.302 0.698 0.500
Ag2 0.698 0.302 0.500
Pd1 0.085 0.285 0.500
Pd2 0.188 0.812 0.000
Pd3 0.285 0.085 0.500
Pd4 0.500 0.500 0.500
Pd5 0.715 0.915 0.500
Pd6 0.812 0.188 0.000
Pd7 0.915 0.715 0.500

no.,DFT total energy (eV per atom)
1,-3.491
2,-2.500
3,-4.196
4,-3.770
5,-3.443
6,-3.565
7,-3.456
8,-3.660
9,-3.463
10,-1.847
11,-3.839
12,-3.864